# 1
Here is a relaxed structure of Ba2PuSb4Pd3 from the Alexandria database. Energies are from PBE-GGA.

```
data_Ba2PuSb4Pd3
_space_group_name_H-M_alt 'P -4 m 2'
_space_group_IT_number 115
_cell_length_a 4.785
_cell_length_b 4.785
_cell_length_c 11.980
_cell_angle_alpha 90.00
_cell_angle_beta 90.00
_cell_angle_gamma 90.00
loop_
_space_group_symop_operation_xyz
'x,y,z'
'y,-x,-z'
'-x,-y,z'
'-y,x,-z'
'-x,y,z'
'-y,-x,-z'
'x,-y,z'
'y,x,-z'
loop_
_atom_site_label
_atom_site_type_symbol
_atom_site_fract_x
_atom_site_fract_y
_atom_site_fract_z
_atom_site_occupancy
Ba1 Ba 0.000 0.500 0.235 1
Pu1 Pu 0.000 0.000 0.500 1
Sb1 Sb 0.000 0.000 0.000 1
Sb2 Sb 0.000 0.500 0.655 1
Sb3 Sb 0.500 0.500 0.000 1
Pd1 Pd 0.000 0.500 0.887 1
Pd2 Pd 0.500 0.500 0.500 1
```

Properties
calculated volume	274.3	Å³/f.u.
raw total energy	-0.42233	Ry/atom
formation energy from raw total energies	-721	meV per atom
total magnetization	5.2	μB/cell



# 2
Here is a relaxed structure of IrW2Se2 from the Alexandria database. Energies are from PBE-GGA.

```
data_IrW2Se2
_space_group_name_H-M_alt 'I 4/m m m'
_space_group_IT_number 139
_space_group_name_Hall '-I 4 2'
_cell_length_a 3.902
_cell_length_b 3.902
_cell_length_c 11.702
_cell_angle_alpha 90.00
_cell_angle_beta 90.00
_cell_angle_gamma 90.00
loop_
_atom_site_label
_atom_site_type_symbol
_atom_site_fract_x
_atom_site_fract_y
_atom_site_fract_z
_atom_site_occupancy
Ir1 Ir 0.000 0.000 0.000 1
W1 W 0.000 0.000 0.394 1
Se1 Se 0.000 0.500 0.250 1
```

Properties
calculated volume	89.1	Å³/f.u.
raw total energy	-0.56040	Ry/atom
formation energy from raw total energies	723	meV per atom
total magnetization	0.0	μB/cell



# 3
Here is a relaxed structure of NaCoS from the Alexandria database. Energies are from PBE-GGA.

```
data_NaCoS
_space_group_name_H-M_alt 'P 4/n m m'
_space_group_IT_number 129
_cell_length_a 3.724
_cell_length_b 3.724
_cell_length_c 8.131
_cell_angle_alpha 90.00
_cell_angle_beta 90.00
_cell_angle_gamma 90.00
loop_
_space_group_symop_operation_xyz
'x,y,z'
'-x,-y,-z'
'-y+1/2,x,z'
'y+1/2,-x,-z'
'-x+1/2,-y+1/2,z'
'x+1/2,y+1/2,-z'
'y,-x+1/2,z'
'-y,x+1/2,-z'
'x+1/2,-y,-z'
'-x+1/2,y,z'
'-y,-x,-z'
'y,x,z'
'-x,y+1/2,-z'
'x,-y+1/2,z'
'y+1/2,x+1/2,-z'
'-y+1/2,-x+1/2,z'
loop_
_atom_site_label
_atom_site_type_symbol
_atom_site_fract_x
_atom_site_fract_y
_atom_site_fract_z
_atom_site_occupancy
Na1 Na 0.250 0.250 0.183 1
Co1 Co 0.250 0.750 0.500 1
S1 S 0.250 0.250 0.652 1
```

Properties
calculated volume	56.4	Å³/f.u.
raw total energy	-0.34318	Ry/atom
formation energy from raw total energies	-485	meV per atom
total magnetization	2.0	μB/cell



# 4
Here is a relaxed structure of Tl2GaAu5 from the Alexandria database. Energies are from PBE-GGA.

```
data_Tl2GaAu5
_space_group_name_H-M_alt 'P 1'
_space_group_IT_number 1
_cell_length_a 5.526
_cell_length_b 5.570
_cell_length_c 6.420
_cell_angle_alpha 98.20
_cell_angle_beta 97.53
_cell_angle_gamma 111.11
loop_
_space_group_symop_operation_xyz
'x,y,z'
loop_
_atom_site_label
_atom_site_type_symbol
_atom_site_fract_x
_atom_site_fract_y
_atom_site_fract_z
_atom_site_occupancy
Tl1 Tl 0.000 0.000 0.000 1
Tl2 Tl 0.377 0.624 0.016 1
Ga1 Ga 0.438 0.054 0.519 1
Au1 Au 0.009 0.649 0.494 1
Au2 Au 0.486 0.584 0.509 1
Au3 Au 0.592 0.214 0.178 1
Au4 Au 0.782 0.408 0.835 1
Au5 Au 0.975 0.133 0.504 1
```

Properties
calculated volume	178.9	Å³/f.u.
raw total energy	-0.22606	Ry/atom
total magnetization	0.0	μB/cell
energy relative to the elements	-0.057	eV per atom



# 5
Here is a relaxed structure of NiPb2Au from the Alexandria database. Energies are from PBE-GGA.

```
data_NiPb2Au
_space_group_name_H-M_alt 'I -4 2 d'
_space_group_IT_number 122
_space_group_name_Hall 'I -4 2bw'
_cell_length_a 7.502
_cell_length_b 7.502
_cell_length_c 6.749
_cell_angle_alpha 90.00
_cell_angle_beta 90.00
_cell_angle_gamma 90.00
loop_
_atom_site_label
_atom_site_type_symbol
_atom_site_fract_x
_atom_site_fract_y
_atom_site_fract_z
_atom_site_occupancy
Ni1 Ni 0.000 0.000 0.000 1
Pb1 Pb 0.218 0.750 0.125 1
Au1 Au 0.000 0.000 0.500 1
```

Properties
calculated volume	95.0	Å³/f.u.
raw total energy	-0.28263	Ry/atom
total magnetization	0.0	μB/cell
energy relative to the elements	0.273	eV per atom



# 6
Here is a relaxed structure of Ba8AsPt3I3 from the Alexandria database. Energies are from PBE-GGA.

```
data_Ba8AsPt3I3
_space_group_name_H-M_alt 'C 1 2/m 1'
_space_group_IT_number 12
_cell_length_a 16.352
_cell_length_b 9.445
_cell_length_c 10.057
_cell_angle_alpha 90.00
_cell_angle_beta 122.79
_cell_angle_gamma 90.00
loop_
_space_group_symop_operation_xyz
'x,y,z'
'-x,-y,-z'
'-x,y,-z'
'x,-y,z'
'x+1/2,y+1/2,z'
'-x+1/2,-y+1/2,-z'
'-x+1/2,y+1/2,-z'
'x+1/2,-y+1/2,z'
loop_
_atom_site_label
_atom_site_type_symbol
_atom_site_fract_x
_atom_site_fract_y
_atom_site_fract_z
_atom_site_occupancy
Ba1 Ba 0.018 0.245 0.300 1
Ba2 Ba 0.235 0.000 0.707 1
Ba3 Ba 0.237 0.500 0.700 1
As1 As 0.000 0.500 0.500 1
Pt1 Pt 0.000 0.000 0.500 1
Pt2 Pt 0.250 0.250 0.500 1
I1 I 0.000 0.500 0.000 1
I2 I 0.250 0.250 0.000 1
```

Properties
calculated volume	652.9	Å³/f.u.
raw total energy	-0.28913	Ry/atom
formation energy from raw total energies	-1080	meV per atom
total magnetization	0.0	μB/cell



# 7
Here is a relaxed structure of CoAuSe2 from the Alexandria database. Energies are from PBE-GGA.

```
data_CoAuSe2
_space_group_name_H-M_alt 'P 63/m m c'
_space_group_IT_number 194
_space_group_name_Hall '-P 6c 2c'
_cell_length_a 3.5565
_cell_length_b 3.5565
_cell_length_c 14.6871
_cell_angle_alpha 90.00
_cell_angle_beta 90.00
_cell_angle_gamma 120.00
loop_
_atom_site_label
_atom_site_type_symbol
_atom_site_fract_x
_atom_site_fract_y
_atom_site_fract_z
_atom_site_occupancy
Co1 Co 0.0000 0.0000 0.0000 1
Au1 Au 0.3333 0.6667 0.2500 1
Se1 Se 0.3333 0.6667 0.0817 1
```

Properties
calculated volume	80.4	Å³/f.u.
raw total energy	-0.33391	Ry/atom
formation energy from raw total energies	-205	meV per atom
total magnetization	0.0	μB/cell



# 8
Here is a relaxed structure of Cs2NdGeS4 from the Alexandria database. Energies are from PBE-GGA.

```
data_Cs2NdGeS4
_space_group_name_H-M_alt 'F d d d'
_space_group_IT_number 70
_cell_length_a 6.743
_cell_length_b 14.768
_cell_length_c 26.042
_cell_angle_alpha 90.00
_cell_angle_beta 90.00
_cell_angle_gamma 90.00
loop_
_space_group_symop_operation_xyz
'x,y,z'
'-x,-y,-z'
'-x+1/4,-y+1/4,z'
'x+1/4,y+1/4,-z'
'x,-y+1/4,-z+1/4'
'-x,y+1/4,z+1/4'
'-x+1/4,y,-z+1/4'
'x+1/4,-y,z+1/4'
'x,y+1/2,z+1/2'
'-x,-y+1/2,-z+1/2'
'-x+1/4,-y+3/4,z+1/2'
'x+1/4,y+3/4,-z+1/2'
'x,-y+3/4,-z+3/4'
'-x,y+3/4,z+3/4'
'-x+1/4,y+1/2,-z+3/4'
'x+1/4,-y+1/2,z+3/4'
'x+1/2,y,z+1/2'
'-x+1/2,-y,-z+1/2'
'-x+3/4,-y+1/4,z+1/2'
'x+3/4,y+1/4,-z+1/2'
'x+1/2,-y+1/4,-z+3/4'
'-x+1/2,y+1/4,z+3/4'
'-x+3/4,y,-z+3/4'
'x+3/4,-y,z+3/4'
'x+1/2,y+1/2,z'
'-x+1/2,-y+1/2,-z'
'-x+3/4,-y+3/4,z'
'x+3/4,y+3/4,-z'
'x+1/2,-y+3/4,-z+1/4'
'-x+1/2,y+3/4,z+1/4'
'-x+3/4,y+1/2,-z+1/4'
'x+3/4,-y+1/2,z+1/4'
loop_
_atom_site_label
_atom_site_type_symbol
_atom_site_fract_x
_atom_site_fract_y
_atom_site_fract_z
_atom_site_occupancy
Cs1 Cs 0.125 0.125 0.307 1
Nd1 Nd 0.125 0.125 0.125 1
Ge1 Ge 0.125 0.125 0.625 1
S1 S 0.093 0.281 0.826 1
```

Properties
calculated volume	324.2	Å³/f.u.
raw total energy	-0.33176	Ry/atom
formation energy from raw total energies	-1064	meV per atom
total magnetization	0.0	μB/cell



> What is the total magnetization in the third record?

2.0 μB/cell